No. 1
Entry from the Alexandria database: a geometry-optimized Tm5GaIr4 structure (PBE).

a b c (Å): 3.4244 3.4244 16.9952
angles (deg): 90.00 90.00 90.00
Site moments in Bohr magnetons follow the coordinates.
Element x y z (fractional)
Tm 0.5000 0.5000 0.1102  0.00
Tm 0.5000 0.5000 0.3042  0.00
Tm 0.5000 0.5000 0.5000  -0.01
Tm 0.5000 0.5000 0.6958  0.00
Tm 0.5000 0.5000 0.8898  0.00
Ga 0.0000 0.0000 0.0000  0.00
Ir 0.0000 0.0000 0.2033  0.00
Ir 0.0000 0.0000 0.4017  0.07
Ir 0.0000 0.0000 0.5983  0.07
Ir 0.0000 0.0000 0.7967  0.00

Its density is 14.025 Mg/m³. The density of states at the Fermi level comes out at 7.820 states/eV per cell. The calculation puts the total energy at -69.375 eV/f.u.

No. 2
Entry from the Alexandria database: a geometry-optimized TmGa3Ir structure (PBE).

a b c (Å): 4.0348 5.2739 5.2177
angles (deg): 120.36 90.00 90.00
Element x y z (fractional)
Tm 0.5000 0.9300 0.8599
Ga 0.0000 0.4345 0.3912
Ga 0.0000 0.9567 0.3912
Ga 0.5000 0.5983 0.1965
Ir 0.0000 0.4352 0.8704

Its density is 9.885 Mg/m³. The calculation puts the relative energy among the computed polymorphs at 242.9 meV per atom. The density of states at the Fermi level comes out at 2.232 states/eV per cell. The calculation puts the total energy at -24.507 eV/f.u.

No. 3
Entry from the Alexandria database: a geometry-optimized Tm3Ga7Ir2 structure (PBE).

a b c (Å): 4.1318 4.1596 13.5283
angles (deg): 98.93 90.00 90.00
Element x y z (fractional)
Tm 0.5000 0.5000 0.0000
Tm 0.0000 0.1788 0.3583
Tm 0.0000 0.8212 0.6417
Ga 0.5000 0.7240 0.4481
Ga 0.5000 0.2760 0.5519
Ga 0.0000 0.5802 0.1604
Ga 0.0000 0.0000 0.0000
Ga 0.0000 0.4198 0.8396
Ga 0.5000 0.9193 0.8393
Ga 0.5000 0.0807 0.1607
Ir 0.5000 0.6328 0.2641
Ir 0.5000 0.3672 0.7359

Its density is 9.972 Mg/m³. The density of states at the Fermi level comes out at 5.571 states/eV per cell. The calculation puts the total energy at -60.063 eV/f.u.

Which value of density does entry 2 give? 9.885 Mg/m³